This record from Alexandria via LeMat-Bulk describes Cu7Pt4 after structural relaxation. The functional is PBE.

abc: 4.5858 4.6608 7.0948
angles: 83.65 89.77 80.59
Last column: nearest neighbours and their distance in Å.
Atoms (fractional coordinates):
1 Cu 0.0000 0.0000 0.0000  6 Cu 2.63-2.67, 6 Pt 2.69-2.70
2 Cu 0.2724 0.3647 0.5460  6 Pt 2.60-2.70, 6 Cu 2.65-2.70
3 Cu 0.3579 0.8181 0.7293  5 Pt 2.64-2.70, 7 Cu 2.64-2.71
4 Cu 0.4512 0.2686 0.9111  8 Cu 2.63-2.71, 4 Pt 2.64-2.67
5 Cu 0.5488 0.7314 0.0889  8 Cu 2.63-2.71, 4 Pt 2.64-2.67
6 Cu 0.6421 0.1819 0.2707  5 Pt 2.64-2.70, 7 Cu 2.64-2.71
7 Cu 0.7276 0.6353 0.4540  6 Pt 2.60-2.70, 6 Cu 2.65-2.70
8 Pt 0.0959 0.4545 0.1808  9 Cu 2.64-2.69, 3 Pt 2.68-2.71
9 Pt 0.1958 0.9049 0.3633  9 Cu 2.60-2.70, 3 Pt 2.69-2.76
10 Pt 0.8042 0.0951 0.6367  9 Cu 2.60-2.70, 3 Pt 2.69-2.76
11 Pt 0.9041 0.5455 0.8192  9 Cu 2.64-2.69, 3 Pt 2.68-2.71

## Properties
- Magnetic moment: 0.000 Bohr magnetons per cell
- Mass density: 13.68 g/cm3
- Total energy: -4.925 eV/atom
- Formation enthalpy at 0 K: -122 meV per atom
- E above lowest polymorph: 0 meV/atom